# ZrTlTe2 PBE relaxed
data_ZrTlTe2
_symmetry_space_group_name_H-M 'C 1 2/m 1'
_symmetry_Int_Tables_number 12
_symmetry_space_group_name_Hall '-C 2y'
_cell_length_a 7.322
_cell_length_b 8.017
_cell_length_c 3.749
_cell_angle_alpha 90.00
_cell_angle_beta 99.34
_cell_angle_gamma 90.00
loop_
_atom_site_label
_atom_site_type_symbol
_atom_site_fract_x
_atom_site_fract_y
_atom_site_fract_z
Zr1 Zr 0.000 0.000 0.000
Tl1 Tl 0.000 0.500 0.000
Te1 Te 0.250 0.250 0.500
# density of states at the Fermi level	0.849	states/eV/atom
# total energy	-35.61	eV per cell
# spin magnetization	0.0	μB per formula unit
# formation energy from raw total energies	-0.1513	eV/atom
# density	8.4	g cm⁻³

# ZrTl4Te4 PBE relaxed
data_ZrTl4Te4
_symmetry_space_group_name_H-M 'C 1 2/m 1'
_symmetry_Int_Tables_number 12
_symmetry_space_group_name_Hall '-C 2y'
_cell_length_a 15.248
_cell_length_b 4.366
_cell_length_c 11.288
_cell_angle_alpha 90.00
_cell_angle_beta 121.46
_cell_angle_gamma 90.00
loop_
_atom_site_label
_atom_site_type_symbol
_atom_site_fract_x
_atom_site_fract_y
_atom_site_fract_z
Zr1 Zr 0.000 0.000 0.000
Tl1 Tl 0.085 0.500 0.405
Tl2 Tl 0.190 0.000 0.769
Te1 Te 0.101 0.500 0.935
Te2 Te 0.172 0.000 0.288
# density of states at the Fermi level	0.003	states/eV/atom
# total energy	-69.93	eV per cell
# spin magnetization	0.0	μB per formula unit
# formation energy from raw total energies	-0.4872	eV/atom
# density	7.4	g cm⁻³

# ZrTl2Te PBE relaxed
data_ZrTl2Te
_symmetry_space_group_name_H-M 'F m -3 m'
_symmetry_Int_Tables_number 225
_symmetry_space_group_name_Hall '-F 4 2 3'
_cell_length_a 7.628
_cell_length_b 7.628
_cell_length_c 7.628
_cell_angle_alpha 90.00
_cell_angle_beta 90.00
_cell_angle_gamma 90.00
loop_
_atom_site_label
_atom_site_type_symbol
_atom_site_fract_x
_atom_site_fract_y
_atom_site_fract_z
Zr1 Zr 0.000 0.000 0.000
Tl1 Tl 0.250 0.250 0.250
Te1 Te 0.000 0.000 0.500
# density of states at the Fermi level	0.995	states/eV/atom
# total energy	-59.62	eV per cell
# spin magnetization	1.5	μB per formula unit
# formation energy from raw total energies	0.3793	eV/atom
# relative energy among the computed polymorphs	639	meV/atom
# density	9.4	g cm⁻³

# Zr4TlTe8 PBE relaxed
data_Zr4TlTe8
_symmetry_space_group_name_H-M 'R -3 m'
_symmetry_Int_Tables_number 166
_symmetry_space_group_name_Hall '-R 3 2"'
_cell_length_a 7.9704
_cell_length_b 7.9704
_cell_length_c 25.8918
_cell_angle_alpha 90.00
_cell_angle_beta 90.00
_cell_angle_gamma 120.00
loop_
_atom_site_label
_atom_site_type_symbol
_atom_site_fract_x
_atom_site_fract_y
_atom_site_fract_z
Zr1 Zr 0.0000 0.0000 0.0000
Zr2 Zr 0.0000 0.5000 0.0000
Tl1 Tl 0.0000 0.0000 0.5000
Te1 Te 0.0000 0.0000 0.2638
Te2 Te 0.0024 0.5012 0.7365
# density of states at the Fermi level	0.251	states/eV/atom
# total energy	-217.76	eV per cell
# spin magnetization	0.0	μB per formula unit
# formation energy from raw total energies	-0.8380	eV/atom
# density	5.6	g cm⁻³

# ZrTl2Te PBE relaxed
data_ZrTl2Te
_symmetry_space_group_name_H-M 'R 3 m'
_symmetry_Int_Tables_number 160
_symmetry_space_group_name_Hall 'R 3 -2"'
_cell_length_a 3.7349
_cell_length_b 3.7349
_cell_length_c 28.8964
_cell_angle_alpha 90.00
_cell_angle_beta 90.00
_cell_angle_gamma 120.00
loop_
_atom_site_label
_atom_site_type_symbol
_atom_site_fract_x
_atom_site_fract_y
_atom_site_fract_z
Zr1 Zr 0.0000 0.0000 0.0000
Tl1 Tl 0.0000 0.0000 0.2556
Tl2 Tl 0.0000 0.0000 0.4989
Te1 Te 0.0000 0.0000 0.7321
# density of states at the Fermi level	0.779	states/eV/atom
# total energy	-52.19	eV per cell
# spin magnetization	0.0	μB per formula unit
# formation energy from raw total energies	-0.2432	eV/atom
# relative energy among the computed polymorphs	16	meV/atom
# density	9.0	g cm⁻³

# ZrTlTe2 PBE relaxed
data_ZrTlTe2
_symmetry_space_group_name_H-M 'P -3 m 1'
_symmetry_Int_Tables_number 164
_symmetry_space_group_name_Hall '-P 3 2"'
_cell_length_a 4.0188
_cell_length_b 4.0188
_cell_length_c 8.8715
_cell_angle_alpha 90.00
_cell_angle_beta 90.00
_cell_angle_gamma 120.00
loop_
_atom_site_label
_atom_site_type_symbol
_atom_site_fract_x
_atom_site_fract_y
_atom_site_fract_z
Zr1 Zr 0.0000 0.0000 0.0000
Tl1 Tl 0.0000 0.0000 0.5000
Te1 Te 0.3333 0.6667 0.2030
# density of states at the Fermi level	0.576	states/eV/atom
# total energy	-19.99	eV per cell
# spin magnetization	0.0	μB per formula unit
# formation energy from raw total energies	-0.6974	eV/atom
# density	7.4	g cm⁻³

# TmTe2 PBE relaxed
data_TmTe2
_symmetry_space_group_name_H-M 'P b c m'
_symmetry_Int_Tables_number 57
_symmetry_space_group_name_Hall '-P 2c 2b'
_cell_length_a 7.593
_cell_length_b 8.059
_cell_length_c 6.018
_cell_angle_alpha 90.00
_cell_angle_beta 90.00
_cell_angle_gamma 90.00
loop_
_atom_site_label
_atom_site_type_symbol
_atom_site_fract_x
_atom_site_fract_y
_atom_site_fract_z
Tm1 Tm 0.246 0.061 0.250
Te1 Te 0.074 0.750 0.000
Te2 Te 0.393 0.095 0.750
# density of states at the Fermi level	0.935	states/eV/atom
# total energy	-55.88	eV per cell
# spin magnetization	0.0	μB per formula unit
# formation energy from raw total energies	-1.0714	eV/atom
# density	7.6	g cm⁻³

# Tm3Te PBE relaxed
data_Tm3Te
_symmetry_space_group_name_H-M 'P m m 2'
_symmetry_Int_Tables_number 25
_symmetry_space_group_name_Hall 'P 2 -2'
_cell_length_a 3.700
_cell_length_b 3.745
_cell_length_c 9.288
_cell_angle_alpha 90.00
_cell_angle_beta 90.00
_cell_angle_gamma 90.00
loop_
_atom_site_label
_atom_site_type_symbol
_atom_site_fract_x
_atom_site_fract_y
_atom_site_fract_z
Tm1 Tm 0.000 0.000 0.000
Tm2 Tm 0.000 0.500 0.438
Tm3 Tm 0.500 0.500 0.757
Te1 Te 0.500 0.000 0.270
# density of states at the Fermi level	1.208	states/eV/atom
# total energy	-17.83	eV per cell
# spin magnetization	0.8	μB per formula unit
# formation energy from raw total energies	-0.3172	eV/atom
# relative energy among the computed polymorphs	271	meV/atom
# density	8.2	g cm⁻³